Entry 1:
First-principles (SCAN) data for a PBEsol-optimized structure of Hf3Zn3N, as listed in the Alexandria database.

Cell lengths 8.3882, 8.3882, 8.3882 Å; angles 60.00, 60.00, 60.00 degrees
Last column: nearest neighbours and their distance in Å.
Positions (direct):
Zn (0.9182, 0.2455, 0.9182)  6 Zn 2.56-2.75, 3 Hf 2.83
Zn (0.3318, 0.3318, 0.0045)  6 Zn 2.56-2.75, 3 Hf 2.83
Zn (0.2455, 0.9182, 0.9182)  6 Zn 2.56-2.75, 3 Hf 2.83
Zn (0.1250, 0.1250, 0.1250)  6 Zn 2.56
Zn (0.6250, 0.1250, 0.1250)  6 Zn 2.56
Zn (0.3318, 0.0045, 0.3318)  6 Zn 2.56-2.75, 3 Hf 2.83
Zn (0.3318, 0.3318, 0.3318)  6 Zn 2.56-2.75, 3 Hf 2.83
Zn (0.0045, 0.3318, 0.3318)  6 Zn 2.56-2.75, 3 Hf 2.83
Zn (0.1250, 0.1250, 0.6250)  6 Zn 2.56
Zn (0.1250, 0.6250, 0.1250)  6 Zn 2.56
Zn (0.9182, 0.9182, 0.2455)  6 Zn 2.56-2.75, 3 Hf 2.83
Zn (0.9182, 0.9182, 0.9182)  6 Zn 2.56-2.75, 3 Hf 2.83
Hf (0.6864, 0.3136, 0.3136)  2 N 2.22
Hf (0.3136, 0.6864, 0.3136)  2 N 2.22
Hf (0.6864, 0.3136, 0.6864)  2 N 2.22
Hf (0.3136, 0.6864, 0.6864)  2 N 2.22
Hf (0.9364, 0.9364, 0.5636)  2 N 2.22
Hf (0.3136, 0.3136, 0.6864)  2 N 2.22
Hf (0.5636, 0.5636, 0.9364)  2 N 2.22
Hf (0.9364, 0.5636, 0.9364)  2 N 2.22
Hf (0.5636, 0.9364, 0.5636)  2 N 2.22
Hf (0.9364, 0.5636, 0.5636)  2 N 2.22
Hf (0.5636, 0.9364, 0.9364)  2 N 2.22
Hf (0.6864, 0.6864, 0.3136)  2 N 2.22
N (0.6250, 0.6250, 0.6250)  6 Hf 2.22
N (0.1250, 0.6250, 0.6250)  6 Hf 2.22
N (0.6250, 0.6250, 0.1250)  6 Hf 2.22
N (0.6250, 0.1250, 0.6250)  6 Hf 2.22

Values from the calculation:
Symmetry: No. 227
ΔE_f (raw) (eV per formula unit): -5.85
Density (Mg/m³): 11.9



Entry 2:
First-principles (SCAN) data for a PBEsol-optimized structure of Te2PRhI, as listed in the Alexandria database.

Cell lengths 5.0770, 5.0770, 5.2104 Å; angles 90.00, 90.00, 90.00 degrees
Last column: nearest neighbours and their distance in Å.
Positions (direct):
I (0.0000, 0.0000, 0.5000)  2 Rh 2.61
Te (0.5000, 0.0000, 0.0000)  2 Rh 2.54
Te (0.0000, 0.5000, 0.0000)  2 Rh 2.54
P (0.5000, 0.5000, 0.5000)  4 I 3.59, 8 Te 3.64
Rh (0.0000, 0.0000, 0.0000)  4 Te 2.54, 2 I 2.61

Values from the calculation:
Symmetry: No. 123
ΔE_f (raw) (eV per formula unit): 3.73
Density (Mg/m³): 6.4